# 1
The following is a PBE calculation of an optimized crystal structure of Rb2MgInPb2, from Alexandria.

Computed properties:
Space-group type: No. 72
Total DFT energy (no corrections) (eV/atom): -2.44
Density of states at the Fermi level (states/eV per atom): 0.37

```
Rb2MgInPb2
1.0
-3.452 9.360 3.472
3.452 -9.360 3.472
3.452 9.360 -3.472
Rb Mg In Pb
4 2 2 4
Cartesian
1.674 3.247 0.000
1.674 -3.247 3.472
1.778 12.607 0.000
1.778 6.113 3.472
3.452 0.000 1.736
0.000 9.360 1.736
0.000 0.000 1.736
0.000 0.000 5.207
5.136 1.916 0.000
1.684 7.444 0.000
1.767 1.916 3.472
-1.684 7.444 3.472
```

# 2
The following is a PBE calculation of an optimized crystal structure of CaMgW2, from Alexandria.

Computed properties:
Space-group type: No. 122
Total DFT energy (no corrections) (eV/atom): -6.29
Density of states at the Fermi level (states/eV per atom): 0.24

```
CaMgW2
1.0
-1.964 1.964 10.444
1.964 -1.964 10.444
1.964 1.964 -10.444
Ca Mg W
2 2 4
Cartesian
0.000 0.000 0.000
0.000 1.964 5.222
1.964 0.000 5.222
0.000 0.000 10.444
0.982 -0.958 7.833
1.006 0.982 2.611
0.982 2.922 -2.611
0.958 0.982 13.055
```

# 3
The following is a PBE calculation of an optimized crystal structure of ZnCr2Pb, from Alexandria.

Computed properties:
Space-group type: No. 38
Total DFT energy (no corrections) (eV/atom): -5.70
Density of states at the Fermi level (states/eV per atom): 0.63

```
ZnCr2Pb
1.0
3.098 0.000 0.000
0.000 1.544 7.515
0.000 -1.544 7.515
Zn Cr Pb
1 2 1
Cartesian
0.000 0.000 0.000
0.000 0.000 12.305
1.549 0.000 5.896
1.549 0.000 2.652
```

# 4
The following is a PBE calculation of an optimized crystal structure of Er8Bi2Ir3, from Alexandria.

Computed properties:
Space-group type: No. 10
Total DFT energy (no corrections) (eV/atom): -6.14
Density of states at the Fermi level (states/eV per atom): 0.44

```
Er8Bi2Ir3
1.0
9.047 0.000 0.000
0.000 4.824 0.000
-3.847 0.000 8.190
Er Bi Ir
8 2 3
Cartesian
-0.568 0.000 3.234
-1.991 2.412 7.060
0.782 2.412 5.298
3.108 0.000 0.899
2.091 0.000 7.291
4.417 2.412 2.892
7.190 2.412 1.130
5.768 0.000 4.956
1.217 2.412 2.104
3.982 2.412 6.086
-0.625 0.000 6.144
4.523 2.412 0.000
5.824 0.000 2.046
```

# 5
The following is a PBE calculation of an optimized crystal structure of Ho3C2Br2, from Alexandria.

Computed properties:
Formation energy without anion corrections (eV per atom): -0.76
Space-group type: No. 2
Total DFT energy (no corrections) (eV/atom): -5.83
Density of states at the Fermi level (states/eV per atom): 0.54

```
Ho3C2Br2
1.0
3.577 0.000 0.000
-1.777 6.028 0.000
-0.001 -1.140 7.296
Ho C Br
3 2 2
Cartesian
0.000 0.000 0.000
0.004 1.858 5.820
1.796 3.031 1.476
0.009 4.324 0.470
1.790 0.564 6.826
0.004 1.033 2.784
1.795 3.855 4.512
```

# 6
The following is a PBE calculation of an optimized crystal structure of LaTbRh, from Alexandria.

Computed properties:
Energy above the most stable polymorph in this dataset (meV/atom): 97
Space-group type: No. 107
Total DFT energy (no corrections) (eV/atom): -6.12
Density of states at the Fermi level (states/eV per atom): 1.31

```
LaTbRh
1.0
-1.771 1.771 6.535
1.771 -1.771 6.535
1.771 1.771 -6.535
La Tb Rh
1 1 1
Cartesian
0.000 0.000 0.000
0.000 0.000 9.730
0.000 0.000 4.723
```

# 7
The following is a PBE calculation of an optimized crystal structure of LiSn2Au3, from Alexandria.

Computed properties:
Energy above the most stable polymorph in this dataset (meV/atom): 72
Space-group type: No. 63
Total DFT energy (no corrections) (eV/atom): -3.49
Density of states at the Fermi level (states/eV per atom): 0.42

```
LiSn2Au3
1.0
4.304 -4.750 0.000
4.304 4.750 0.000
0.000 0.000 6.264
Li Sn Au
2 4 6
Cartesian
4.304 4.100 4.698
4.304 -4.100 1.566
2.769 2.403 1.566
5.840 2.403 1.566
2.769 -2.403 4.698
5.840 -2.403 4.698
2.241 0.000 0.000
2.241 0.000 3.132
4.304 1.361 4.698
4.304 -1.361 1.566
6.367 0.000 0.000
6.367 0.000 3.132
```

# 8
The following is a PBE calculation of an optimized crystal structure of GdTmHg2, from Alexandria.

Computed properties:
Energy above the most stable polymorph in this dataset (meV/atom): 9
Space-group type: No. 225
Total DFT energy (no corrections) (eV/atom): -5.27
Density of states at the Fermi level (states/eV per atom): 1.15

```
GdTmHg2
1.0
0.000 3.713 3.713
3.713 0.000 3.713
3.713 3.713 0.000
Gd Tm Hg
1 1 2
Cartesian
0.000 0.000 0.000
3.713 3.713 3.713
1.856 1.856 1.856
5.569 5.569 5.569
```

# 9
The following is a PBE calculation of an optimized crystal structure of Ba2Sr3Ac, from Alexandria.

Computed properties:
Space-group type: No. 187
Total DFT energy (no corrections) (eV/atom): -2.15
Density of states at the Fermi level (states/eV per atom): 1.51

```
Ba2Sr3Ac
1.0
4.246 0.000 0.000
-2.123 3.677 0.000
0.000 0.000 41.977
Ba Sr Ac
4 6 2
Cartesian
0.000 0.000 0.000
0.000 0.000 20.988
0.000 2.452 10.310
0.000 2.452 31.667
0.000 0.000 6.706
0.000 0.000 13.892
0.000 0.000 28.085
0.000 0.000 35.271
0.000 2.452 17.372
0.000 2.452 24.605
0.000 2.452 3.426
0.000 2.452 38.551
```

# 10
The following is a PBE calculation of an optimized crystal structure of Ac3Si2Ge4, from Alexandria.

Computed properties:
Formation energy without anion corrections (eV per atom): -0.57
Space-group type: No. 12
Total DFT energy (no corrections) (eV/atom): -5.19
Density of states at the Fermi level (states/eV per atom): 0.57

```
Ac3Si2Ge4
1.0
6.053 -2.123 0.000
6.053 2.123 0.000
-1.974 0.000 8.984
Ac Si Ge
3 2 4
Cartesian
0.000 0.000 0.000
3.372 0.000 3.017
6.759 0.000 5.967
3.201 0.000 6.450
6.931 0.000 2.534
-0.122 0.000 3.402
1.587 0.000 8.454
8.545 0.000 0.529
10.253 0.000 5.582
```

# 11
The following is a PBE calculation of an optimized crystal structure of La2Te, from Alexandria.

Computed properties:
Formation energy without anion corrections (eV per atom): -0.93
Space-group type: No. 62
Total DFT energy (no corrections) (eV/atom): -5.26
Density of states at the Fermi level (states/eV per atom): 1.37

```
La2Te
1.0
6.790 0.000 0.000
0.000 4.936 0.000
0.000 0.000 11.464
La Te
8 4
Cartesian
0.411 1.234 2.720
1.345 1.234 6.415
2.050 3.702 0.683
2.984 3.702 8.452
3.806 1.234 3.012
4.740 1.234 10.781
5.445 3.702 5.049
6.379 3.702 8.744
1.373 1.234 10.033
2.022 3.702 4.301
4.768 1.234 7.163
5.417 3.702 1.431
```

# 12
The following is a PBE calculation of an optimized crystal structure of ReSiO3, from Alexandria.

Computed properties:
Formation energy without anion corrections (eV per atom): -0.41
Space-group type: No. 221
Total DFT energy (no corrections) (eV/atom): -6.96
Density of states at the Fermi level (states/eV per atom): 0.93

```
ReSiO3
1.0
3.558 0.000 0.000
0.000 3.558 0.000
0.000 0.000 3.558
Re Si O
1 1 3
Cartesian
0.000 0.000 0.000
1.779 1.779 1.779
0.000 1.779 1.779
1.779 0.000 1.779
1.779 1.779 0.000
```

# 13
The following is a PBE calculation of an optimized crystal structure of Y3Tm2Tl3, from Alexandria.

Computed properties:
Space-group type: No. 71
Total DFT energy (no corrections) (eV/atom): -4.72
Density of states at the Fermi level (states/eV per atom): 0.92

```
Y3Tm2Tl3
1.0
-1.882 2.676 11.235
1.882 -2.676 11.235
1.882 2.676 -11.235
Y Tm Tl
3 2 3
Cartesian
0.000 0.000 0.000
1.882 0.000 8.403
0.000 2.676 2.833
0.000 0.000 5.301
0.000 0.000 17.170
1.882 0.000 2.737
0.000 0.000 11.235
0.000 2.676 8.498
```

# 14
The following is a PBE calculation of an optimized crystal structure of LiScAgCl6, from Alexandria.

Computed properties:
Formation energy without anion corrections (eV per atom): -1.38
Space-group type: No. 163
Total DFT energy (no corrections) (eV/atom): -3.84
Density of states at the Fermi level (states/eV per atom): 0.99

```
LiScAgCl6
1.0
6.402 0.000 0.000
-3.201 5.544 0.000
0.000 0.000 11.599
Li Sc Ag Cl
2 2 2 12
Cartesian
0.000 3.696 2.900
3.201 1.848 8.699
0.000 3.696 8.699
3.201 1.848 2.900
0.000 0.000 0.000
0.000 0.000 5.800
-1.081 1.933 7.295
-2.067 3.642 10.103
1.081 1.933 10.103
-0.987 5.514 7.295
2.214 0.031 1.496
1.134 1.902 4.304
2.067 3.642 7.295
0.987 5.514 10.103
4.188 0.031 4.304
2.120 3.611 1.496
5.268 1.902 1.496
4.282 3.611 4.304
```

# 15
The following is a PBE calculation of an optimized crystal structure of CaAlPb2, from Alexandria.

Computed properties:
Space-group type: No. 139
Total DFT energy (no corrections) (eV/atom): -3.45
Density of states at the Fermi level (states/eV per atom): 0.24

```
CaAlPb2
1.0
-2.381 2.381 4.829
2.381 -2.381 4.829
2.381 2.381 -4.829
Ca Al Pb
1 1 2
Cartesian
0.000 0.000 0.000
0.000 0.000 4.829
2.381 0.000 2.415
0.000 2.381 2.415
```

# 16
The following is a PBE calculation of an optimized crystal structure of SrGa4Ag2, from Alexandria.

Computed properties:
Space-group type: No. 139
Total DFT energy (no corrections) (eV/atom): -2.94
Density of states at the Fermi level (states/eV per atom): 0.49

```
SrGa4Ag2
1.0
-3.628 3.628 2.754
3.628 -3.628 2.754
3.628 3.628 -2.754
Sr Ga Ag
1 4 2
Cartesian
0.000 0.000 0.000
2.253 2.253 0.000
1.375 -1.375 2.754
-1.375 1.375 2.754
1.375 1.375 2.754
3.628 0.000 1.377
0.000 3.628 1.377
```

# 17
The following is a PBE calculation of an optimized crystal structure of Tb3Pr6Dy2In, from Alexandria.

Computed properties:
Space-group type: No. 12
Total DFT energy (no corrections) (eV/atom): -4.58
Density of states at the Fermi level (states/eV per atom): 1.19

```
Tb3Pr6Dy2In
1.0
3.123 -5.426 0.000
3.123 5.426 0.000
-2.122 0.000 11.689
Tb Pr Dy In
3 6 2 1
Cartesian
0.000 0.000 0.000
3.123 1.822 0.000
3.123 -1.822 0.000
1.054 1.775 2.958
0.007 0.000 8.749
1.054 -1.775 2.958
3.070 1.775 8.731
4.117 0.000 2.940
3.070 -1.775 8.731
2.062 3.621 5.845
2.062 -3.621 5.845
2.062 0.000 5.845
```

# 18
The following is a PBE calculation of an optimized crystal structure of As5Au12I3, from Alexandria.

Computed properties:
Formation energy without anion corrections (eV per atom): 0.23
Space-group type: No. 230
Total DFT energy (no corrections) (eV/atom): -3.13
Density of states at the Fermi level (states/eV per atom): 0.33

```
As5Au12I3
1.0
-8.003 8.003 8.003
8.003 -8.003 8.003
8.003 8.003 -8.003
As Au I
20 48 12
Cartesian
0.000 0.000 0.000
4.001 4.001 -4.001
4.001 -4.001 4.001
8.003 0.000 0.000
12.004 2.001 0.000
8.003 -4.001 6.002
6.002 8.003 -4.001
6.002 0.000 4.001
4.001 6.002 0.000
8.003 4.001 2.001
-4.001 4.001 4.001
0.000 8.003 0.000
0.000 0.000 8.003
4.001 4.001 4.001
0.000 4.001 6.002
4.001 2.001 8.003
2.001 8.003 4.001
2.001 0.000 12.004
0.000 12.004 2.001
-4.001 6.002 8.003
2.207 -0.706 1.148
9.797 5.150 -4.707
7.297 -1.148 2.207
12.710 -1.794 2.853
1.148 2.207 -0.706
10.856 3.296 -1.794
10.210 0.706 1.148
9.797 -2.853 4.707
5.150 4.707 -1.794
6.855 2.207 0.706
-0.706 1.148 2.207
4.707 -1.794 5.150
7.297 6.855 -2.207
4.707 1.794 2.853
6.855 -2.207 7.297
5.150 -4.707 9.797
2.207 7.297 -1.148
9.797 2.853 3.296
2.853 4.707 1.794
9.151 5.796 0.706
4.707 9.797 -2.853
7.297 1.148 5.796
1.794 2.853 4.707
2.207 0.706 6.855
5.796 7.297 1.148
6.208 5.150 3.296
0.706 6.855 2.207
3.296 -1.794 10.856
-1.148 2.207 7.297
5.150 3.296 6.208
-1.794 5.150 4.707
5.796 0.706 9.151
2.853 12.710 -1.794
1.148 10.210 0.706
3.296 6.208 5.150
0.706 1.148 10.210
3.296 9.797 2.853
8.708 6.855 5.796
1.148 5.796 7.297
2.853 3.296 9.797
-1.794 10.856 3.296
-2.207 7.297 6.855
-2.853 4.707 9.797
6.855 5.796 8.708
-4.707 9.797 5.150
0.706 9.151 5.796
-1.794 2.853 12.710
5.796 8.708 6.855
4.001 2.001 0.000
8.003 4.001 -2.001
2.001 0.000 4.001
10.004 0.000 4.001
0.000 4.001 2.001
4.001 -2.001 8.003
4.001 10.004 0.000
8.003 4.001 6.002
-2.001 8.003 4.001
6.002 8.003 4.001
0.000 4.001 10.004
4.001 6.002 8.003
```

# 19
The following is a PBE calculation of an optimized crystal structure of K2NaNbNi, from Alexandria.

Computed properties:
Space-group type: No. 123
Total DFT energy (no corrections) (eV/atom): -2.33
Density of states at the Fermi level (states/eV per atom): 0.89

```
K2NaNbNi
1.0
6.033 0.000 0.000
0.000 6.033 0.000
0.000 0.000 4.947
K Na Nb Ni
2 1 1 1
Cartesian
0.000 3.016 0.000
3.016 0.000 0.000
0.000 0.000 0.000
3.016 3.016 2.473
0.000 0.000 2.473
```

# 20
The following is a PBE calculation of an optimized crystal structure of CsSr2Ag, from Alexandria.

Computed properties:
Energy above the most stable polymorph in this dataset (meV/atom): 24
Space-group type: No. 123
Total DFT energy (no corrections) (eV/atom): -1.81
Density of states at the Fermi level (states/eV per atom): 0.80

```
CsSr2Ag
1.0
4.117 0.000 0.000
0.000 4.117 0.000
0.000 0.000 11.574
Cs Sr Ag
1 2 1
Cartesian
0.000 0.000 0.000
2.058 2.058 3.931
2.058 2.058 7.644
0.000 0.000 5.787
```

# 21
The following is a PBE calculation of an optimized crystal structure of YMg2, from Alexandria.

Computed properties:
Space-group type: No. 225
Total DFT energy (no corrections) (eV/atom): -2.68
Density of states at the Fermi level (states/eV per atom): 1.44

```
YMg2
1.0
0.000 3.672 3.672
3.672 0.000 3.672
3.672 3.672 0.000
Y Mg
1 2
Cartesian
0.000 0.000 0.000
1.836 1.836 1.836
5.508 5.508 5.508
```